SnSb2PdO: optimized geometry, PBE-GGA.

a = 5.5936 Å, b = 5.5936 Å, c = 4.9419 Å
α = 90.00°, β = 90.00°, γ = 90.00°
With the nearest neighbours (Å) after each atom.
Fractional coordinates of all 5 atoms:
1 Sn 0.0000 0.0000 0.0000  2 Pd 2.47
2 Sb 0.0000 0.5000 0.0000  2 Sn 2.80
3 Sb 0.5000 0.0000 0.0000  2 Sn 2.80
4 Pd 0.0000 0.0000 0.5000  2 Sn 2.47
5 O 0.5000 0.5000 0.5000  8 Sb 3.73, 4 Pd 3.96

For the formation energy (no corrections), the calculation gives 5.6 eV per formula unit. The volume is 30.92 Å³/atom. The total energy comes out at -3.355 eV per atom.